P) An optimized crystal structure of Rb3Bi2Pb. Source: Alexandria via LeMat-Bulk, functional PBE-GGA.

Computed properties:
D(E_F)   3.47 states/eV/f.u.

abc: 9.0358 7.8049 10.3448
angles: 112.16 115.90 90.00
Closest atoms and distances in Å follow each position.
Fractional coordinates of all 12 atoms:
Bi: 0.6930 0.8952 0.7904  2 Pb 3.21
Bi: 0.9026 0.6048 0.2096  2 Pb 3.21
Bi: 0.3070 0.1048 0.2096  2 Pb 3.21
Bi: 0.0974 0.3952 0.7904  2 Pb 3.21
Pb: 0.0000 0.7500 0.0000  4 Bi 3.21
Pb: 0.0000 0.2500 0.0000  4 Bi 3.21
Rb: 0.5000 0.7500 0.0000  4 Bi 3.77, 2 Rb 3.90
Rb: 0.0124 0.8225 0.6449  4 Bi 3.75-4.09, 2 Pb 3.97
Rb: 0.6326 0.3225 0.6449  4 Bi 3.75-4.09, 2 Pb 3.97
Rb: 0.9876 0.1775 0.3551  4 Bi 3.75-4.09, 2 Pb 3.97
Rb: 0.5000 0.2500 0.0000  4 Bi 3.77, 2 Rb 3.90
Rb: 0.3674 0.6775 0.3551  4 Bi 3.75-4.09, 2 Pb 3.97

=====

Q) An optimized crystal structure of Rb3Bi2Pb. Source: Alexandria via LeMat-Bulk, functional PBE-GGA.

Computed properties:
D(E_F)   1.97 states/eV/f.u.

abc: 5.8947 10.3700 13.1437
angles: 50.99 77.04 73.49
Closest atoms and distances in Å follow each position.
Fractional coordinates of all 12 atoms:
Bi: 0.1195 0.5993 0.1616  2 Pb 3.41, 4 Rb 3.53-3.75
Bi: 0.5973 0.2058 0.5995  2 Pb 3.16-3.18
Bi: 0.8805 0.4007 0.8384  2 Pb 3.41, 4 Rb 3.53-3.75
Bi: 0.4027 0.7942 0.4005  2 Pb 3.16-3.18
Rb: 0.3195 0.3069 0.0541  3 Bi 3.75-3.90, 1 Pb 4.04
Rb: 0.0606 0.0667 0.8122  3 Bi 3.53-3.67
Rb: 0.9394 0.9333 0.1878  3 Bi 3.53-3.67
Rb: 0.1901 0.1746 0.4453  3 Bi 3.53-3.66
Rb: 0.8099 0.8254 0.5547  3 Bi 3.53-3.66
Rb: 0.6805 0.6931 0.9459  3 Bi 3.75-3.90, 1 Pb 4.04
Pb: 0.4343 0.4460 0.6854  4 Bi 3.16-3.41
Pb: 0.5657 0.5540 0.3146  4 Bi 3.16-3.41

=====

Which of them is the most stable, and which is the least stable? P) and Q), in that order.

=====

P) An optimized crystal structure of RbBiPb3. Source: Alexandria via LeMat-Bulk, functional PBE-GGA.

Computed properties:
D(E_F)   5.42 states/eV/f.u.

abc: 6.1774 6.1774 6.1774
angles: 90.00 90.00 90.00
Closest atoms and distances in Å follow each position.
Fractional coordinates of all 5 atoms:
Pb: 0.0000 0.0000 0.5000  2 Bi 3.09
Pb: 0.0000 0.5000 0.0000  2 Bi 3.09
Pb: 0.5000 0.0000 0.0000  2 Bi 3.09
Rb: 0.5000 0.5000 0.5000  12 Pb 4.37
Bi: 0.0000 0.0000 0.0000  6 Pb 3.09

=====

Q) An optimized crystal structure of RbBiPb3. Source: Alexandria via LeMat-Bulk, functional PBE-GGA.

Computed properties:
D(E_F)   2.25 states/eV/f.u.

abc: 5.1874 5.1874 7.2434
angles: 90.00 90.00 90.00
Closest atoms and distances in Å follow each position.
Fractional coordinates of all 5 atoms:
Bi: 0.0000 0.0000 0.0619  5 Pb 3.08-3.35
Pb: 0.0000 0.0000 0.6367  1 Bi 3.08, 4 Pb 3.30
Pb: 0.5000 0.0000 0.3539  6 Pb 3.30-3.67, 2 Bi 3.35
Pb: 0.0000 0.5000 0.3539  6 Pb 3.30-3.67, 2 Bi 3.35
Rb: 0.5000 0.5000 0.8573  4 Bi 3.96, 4 Pb 4.00

=====

Which of them is the most stable, and which is the least stable? Q) and P), in that order.

=====

P) An optimized crystal structure of Bi2RhPb8. Source: Alexandria via LeMat-Bulk, functional PBE-GGA.

Computed properties:
D(E_F)   6.15 states/eV/f.u.

abc: 4.9496 9.2987 9.0978
angles: 120.75 106.25 90.00
Closest atoms and distances in Å follow each position.
Fractional coordinates of all 11 atoms:
Bi: 0.1819 0.6839 0.3675  8 Pb 3.31-3.51
Bi: 0.8181 0.3161 0.6325  8 Pb 3.31-3.51
Pb: 0.3468 0.0891 0.6970  1 Rh 3.17, 3 Bi 3.31-3.50, 4 Pb 3.36-3.38
Pb: 0.6532 0.9109 0.3030  1 Rh 3.17, 3 Bi 3.31-3.50, 4 Pb 3.36-3.38
Pb: 0.9999 0.7133 0.9998  6 Pb 3.25-3.38, 2 Bi 3.36-3.37, 2 Rh 3.64
Pb: 0.8733 0.8744 0.7487  2 Rh 3.08-3.11, 6 Pb 3.25-3.36
Pb: 0.0001 0.2867 0.0002  6 Pb 3.25-3.38, 2 Bi 3.36-3.37, 2 Rh 3.64
Pb: 0.1267 0.1256 0.2513  2 Rh 3.08-3.11, 6 Pb 3.25-3.36
Pb: 0.3468 0.6079 0.6968  1 Rh 3.17, 3 Bi 3.31-3.51, 4 Pb 3.36-3.38
Pb: 0.6532 0.3921 0.3032  1 Rh 3.17, 3 Bi 3.31-3.51, 4 Pb 3.36-3.38
Rh: 0.5000 0.0000 0.0000  8 Pb 3.08-3.17

=====

Q) An optimized crystal structure of Bi2RhPb8. Source: Alexandria via LeMat-Bulk, functional PBE-GGA.

Computed properties:
D(E_F)   6.27 states/eV/f.u.

abc: 5.3255 7.1701 10.0412
angles: 113.18 105.38 90.00
Closest atoms and distances in Å follow each position.
Fractional coordinates of all 11 atoms:
Bi: 0.1663 0.7189 0.3326  9 Pb 3.31-3.64
Bi: 0.8337 0.2811 0.6674  9 Pb 3.31-3.64
Pb: 0.3585 0.0258 0.7170  1 Rh 2.82
Pb: 0.2111 0.3130 0.4221  7 Pb 3.34-3.65, 3 Bi 3.36-3.64
Pb: 0.0071 0.7856 0.0141  2 Rh 3.11, 3 Pb 3.20-3.34, 1 Bi 3.31
Pb: 0.6415 0.9742 0.2830  1 Rh 2.82
Pb: 0.3978 0.5860 0.7957  1 Rh 2.82
Pb: 0.9929 0.2144 0.9859  2 Rh 3.11, 3 Pb 3.20-3.34, 1 Bi 3.31
Pb: 0.7889 0.6870 0.5779  7 Pb 3.34-3.65, 3 Bi 3.36-3.64
Pb: 0.6022 0.4140 0.2043  1 Rh 2.82
Rh: 0.5000 0.0000 0.0000  8 Pb 2.82-3.11

=====

Which of them is the most stable, and which is the least stable? Q) and P), in that order.

=====

P) An optimized crystal structure of Bi2Rh3Pb2. Source: Alexandria via LeMat-Bulk, functional PBE-GGA.

Computed properties:
D(E_F)   3.41 states/eV/f.u.

abc: 3.7701 7.0991 6.3346
angles: 88.84 89.99 105.25
Closest atoms and distances in Å follow each position.
Fractional coordinates of all 7 atoms:
Pb: 0.8926 0.7912 0.6253  4 Rh 2.76-2.80
Pb: 0.1074 0.2088 0.3747  4 Rh 2.76-2.80
Rh: 0.0000 0.0000 0.0000  2 Pb 2.80, 4 Bi 2.80-2.81
Rh: 0.2467 0.4951 0.6755  3 Pb 2.76-2.78, 3 Bi 2.80-2.92, 2 Rh 2.91-2.92
Rh: 0.7533 0.5049 0.3245  3 Pb 2.76-2.78, 3 Bi 2.80-2.92, 2 Rh 2.91-2.92
Bi: 0.3518 0.7030 0.0724  5 Rh 2.80-2.92
Bi: 0.6482 0.2970 0.9276  5 Rh 2.80-2.92

=====

Q) An optimized crystal structure of Bi2Rh3Pb2. Source: Alexandria via LeMat-Bulk, functional PBE-GGA.

Computed properties:
D(E_F)   3.96 states/eV/f.u.

abc: 7.1536 7.0395 7.1321
angles: 66.23 90.00 90.00
Closest atoms and distances in Å follow each position.
Fractional coordinates of all 14 atoms:
Pb: 0.3421 0.1083 0.1266  5 Rh 2.77-2.88
Pb: 0.1579 0.6083 0.1266  5 Rh 2.77-2.88
Pb: 0.6579 0.8917 0.8734  5 Rh 2.77-2.88
Pb: 0.8421 0.3917 0.8734  5 Rh 2.77-2.88
Bi: 0.3287 0.6674 0.6287  4 Rh 2.69-2.74
Bi: 0.1713 0.1674 0.6287  4 Rh 2.69-2.74
Bi: 0.6713 0.3326 0.3713  4 Rh 2.69-2.74
Bi: 0.8287 0.8326 0.3713  4 Rh 2.69-2.74
Rh: 0.9981 0.7926 0.7214  3 Bi 2.69-2.74, 3 Pb 2.81-2.88, 1 Rh 2.90
Rh: 0.5000 0.5000 0.0000  2 Bi 2.72, 4 Pb 2.77-2.82, 2 Rh 2.90
Rh: 0.0019 0.2074 0.2786  3 Bi 2.69-2.74, 3 Pb 2.81-2.88, 1 Rh 2.90
Rh: 0.4981 0.7074 0.2786  3 Bi 2.69-2.74, 3 Pb 2.81-2.88, 1 Rh 2.90
Rh: 0.5019 0.2926 0.7214  3 Bi 2.69-2.74, 3 Pb 2.81-2.88, 1 Rh 2.90
Rh: 0.0000 0.0000 0.0000  2 Bi 2.72, 4 Pb 2.77-2.82, 2 Rh 2.90

=====

Which of them is the most stable, and which is the least stable? Q) and P), in that order.

=====

P) An optimized crystal structure of BiRu2Pb. Source: Alexandria via LeMat-Bulk, functional PBE-GGA.

Computed properties:
D(E_F)   5.20 states/eV/f.u.

abc: 6.1272 6.1272 7.4315
angles: 65.65 65.65 90.00
Closest atoms and distances in Å follow each position.
Fractional coordinates of all 8 atoms:
Bi: 0.7500 0.2500 0.5000  4 Ru 2.63
Bi: 0.0000 0.0000 0.0000  4 Ru 2.63
Ru: 0.8750 0.8792 0.7500  2 Bi 2.63, 2 Pb 2.66
Ru: 0.1208 0.6250 0.2500  2 Bi 2.63, 2 Pb 2.66
Ru: 0.3750 0.3708 0.7500  2 Bi 2.63, 2 Pb 2.66
Ru: 0.6292 0.1250 0.2500  2 Bi 2.63, 2 Pb 2.66
Pb: 0.2500 0.7500 0.5000  4 Ru 2.66
Pb: 0.5000 0.5000 0.0000  4 Ru 2.66

=====

Q) An optimized crystal structure of BiRu2Pb. Source: Alexandria via LeMat-Bulk, functional PBE-GGA.

Computed properties:
D(E_F)   4.98 states/eV/f.u.

abc: 4.7619 4.7619 4.7619
angles: 60.00 60.00 60.00
Closest atoms and distances in Å follow each position.
Fractional coordinates of all 4 atoms:
Bi: 0.5000 0.5000 0.5000  8 Ru 2.92
Pb: 0.0000 0.0000 0.0000  8 Ru 2.92
Ru: 0.2500 0.2500 0.2500  4 Pb 2.92, 4 Bi 2.92
Ru: 0.7500 0.7500 0.7500  4 Pb 2.92, 4 Bi 2.92

=====

Which of them is the most stable, and which is the least stable? Q) and P), in that order.